DFT (PBE) results for a geometry-optimized ZrB4Rh12 structure.

Calculated values
SG = No. 204
E_tot = -126.6 eV for the cell shown
Mass density = 9.8 Mg/m³

Lattice parameters (Å, degrees): 6.707 6.707 6.707 109.47 109.47 109.47
Atoms (fractional coordinates):
B 0.000 0.500 0.000
B 0.500 0.500 0.500
B 0.000 0.000 0.500
B 0.500 0.000 0.000
Zr 0.000 0.000 0.000
Rh 0.316 0.144 0.828
Rh 0.316 0.488 0.172
Rh 0.856 0.172 0.684
Rh 0.828 0.684 0.512
Rh 0.488 0.172 0.316
Rh 0.144 0.828 0.316
Rh 0.684 0.856 0.172
Rh 0.828 0.316 0.144
Rh 0.684 0.512 0.828
Rh 0.512 0.828 0.684
Rh 0.172 0.316 0.488
Rh 0.172 0.684 0.856

DFT (PBE) results for a geometry-optimized Zr2BRh structure.

Calculated values
SG = No. 122
E_tot = -62.3 eV for the cell shown
Mass density = 6.9 Mg/m³

Lattice parameters (Å, degrees): 6.641 6.641 5.709 54.44 54.44 90.00
Atoms (fractional coordinates):
Rh 0.000 0.000 0.000
Rh 0.750 0.250 0.500
Zr 0.375 0.414 0.750
Zr 0.875 0.836 0.750
Zr 0.586 0.125 0.250
Zr 0.164 0.625 0.250
B 0.500 0.500 0.000
B 0.250 0.750 0.500

DFT (PBE) results for a geometry-optimized ZrB2Rh structure.

Calculated values
SG = No. 225
E_tot = -29.1 eV for the cell shown
Mass density = 7.5 Mg/m³
Excess energy over the best structure of this formula in the dataset = 0.180 eV/atom

Lattice parameters (Å, degrees): 4.065 4.065 4.065 60.00 60.00 60.00
Atoms (fractional coordinates):
Zr 0.000 0.000 0.000
B 0.250 0.250 0.250
B 0.750 0.750 0.750
Rh 0.500 0.500 0.500

DFT (PBE) results for a geometry-optimized Zr3BRh structure.

Calculated values
SG = No. 221
E_tot = -40.5 eV for the cell shown
Mass density = 6.8 Mg/m³
Excess energy over the best structure of this formula in the dataset = 0.000 eV/atom

Lattice parameters (Å, degrees): 4.565 4.565 4.565 90.00 90.00 90.00
Atoms (fractional coordinates):
B 0.000 0.000 0.000
Zr 0.500 0.000 0.000
Zr 0.000 0.500 0.000
Zr 0.000 0.000 0.500
Rh 0.500 0.500 0.500

DFT (PBE) results for a geometry-optimized Zr2BRh8 structure.

Calculated values
SG = No. 71
E_tot = -87.2 eV for the cell shown
Mass density = 10.3 Mg/m³

Lattice parameters (Å, degrees): 4.511 5.595 7.436 112.11 107.66 90.00
Atoms (fractional coordinates):
Rh 0.381 0.134 0.761
Rh 0.619 0.866 0.239
Rh 0.381 0.627 0.761
Rh 0.823 0.823 0.646
Rh 0.000 0.250 0.000
Rh 0.177 0.177 0.354
Rh 0.619 0.373 0.239
Rh 0.000 0.750 0.000
Zr 0.195 0.696 0.391
Zr 0.805 0.304 0.609
B 0.500 0.000 0.000

DFT (PBE) results for a geometry-optimized Zr2BRh6 structure.

Calculated values
SG = No. 71
E_tot = -70.6 eV for the cell shown
Mass density = 9.3 Mg/m³

Lattice parameters (Å, degrees): 3.121 6.973 7.667 117.05 101.75 90.00
Atoms (fractional coordinates):
B 0.000 0.000 0.000
Rh 0.500 0.799 0.000
Rh 0.170 0.977 0.341
Rh 0.830 0.023 0.659
Rh 0.500 0.201 0.000
Rh 0.830 0.637 0.659
Rh 0.170 0.363 0.341
Zr 0.639 0.639 0.277
Zr 0.361 0.361 0.723

So what do the calculations give for energy relative to the elements? Going down the list: -3.2 0.0 0.1 -0.8 -4.6 -2.7 eV/f.u..
So what do the calculations give for Fermi-level density of states? Going down the list: 24.12 7.36 8.01 9.18 10.54 8.90 states/eV/cell.